Record 1
Hf2ScGeSb | PBE | relaxed

a b c (Å): 4.9740 4.9740 5.3477
angles (deg): 90.00 90.00 90.00
With the nearest neighbours (Å) after each atom.
Positions (direct):
Hf 0.0000 0.5000 0.0000  2 Ge 2.49
Hf 0.5000 0.0000 0.0000  2 Ge 2.49
Sc 0.0000 0.0000 0.5000  4 Sb 3.52, 8 Hf 3.65
Ge 0.5000 0.5000 0.0000  4 Hf 2.49, 2 Sb 2.67
Sb 0.5000 0.5000 0.5000  2 Ge 2.67

DOS at the Fermi energy   7.94 states/eV/cell
Size of the total moment   0.000 μB per formula unit
Uncorrected formation energy   226 kJ/mol of formula units
Crystal system   tetragonal

***

Record 2
Li5Zn2Ag4 | PBE | relaxed

a b c (Å): 7.2719 2.8827 8.9203
angles (deg): 90.00 93.53 90.00
With the nearest neighbours (Å) after each atom.
Positions (direct):
Li 0.0000 0.0000 0.0000  4 Ag 2.78, 6 Li 2.86-2.96
Li 0.0548 0.0000 0.3311  1 Zn 2.69, 6 Ag 2.77-3.01, 3 Li 2.88-2.96
Li 0.3432 0.0000 0.8601  1 Zn 2.70, 6 Ag 2.79-2.97, 3 Li 2.86-2.88
Li 0.6568 0.0000 0.1399  1 Zn 2.70, 6 Ag 2.79-2.97, 3 Li 2.86-2.88
Li 0.9452 0.0000 0.6689  1 Zn 2.69, 6 Ag 2.77-3.01, 3 Li 2.88-2.96
Zn 0.4252 0.0000 0.3648  3 Zn 2.58-2.88, 2 Li 2.69-2.70, 6 Ag 2.70-2.81
Zn 0.5748 0.0000 0.6352  3 Zn 2.58-2.88, 2 Li 2.69-2.70, 6 Ag 2.70-2.81
Ag 0.2464 0.5000 0.5833  6 Li 2.77-2.95, 4 Zn 2.80-2.81, 2 Ag 2.88
Ag 0.2992 0.5000 0.1237  2 Zn 2.70, 8 Li 2.78-3.01, 2 Ag 2.88
Ag 0.7008 0.5000 0.8763  2 Zn 2.70, 8 Li 2.78-3.01, 2 Ag 2.88
Ag 0.7536 0.5000 0.4167  6 Li 2.77-2.95, 4 Zn 2.80-2.81, 2 Ag 2.88

DOS at the Fermi energy   1.81 states/eV/cell
Size of the total moment   0.000 μB per formula unit
Formation energy from the elements   -0.1549 eV/atom
Crystal system   monoclinic

***

Record 3
SrScSb2 | PBE | relaxed

a b c (Å): 5.6373 5.6373 5.6373
angles (deg): 130.87 114.48 86.06
With the nearest neighbours (Å) after each atom.
Positions (direct):
Sr 0.0000 0.0000 0.0000  8 Sb 3.25-3.58
Sc 0.5000 0.5000 0.0000  4 Sb 3.00
Sb 0.2733 0.7733 0.5000  2 Sc 3.00, 2 Sr 3.25
Sb 0.7267 0.2267 0.5000  2 Sc 3.00, 2 Sr 3.25

DOS at the Fermi energy   2.41 states/eV/cell
Size of the total moment   0.000 μB per formula unit
Uncorrected formation energy   -259 kJ/mol of formula units
Crystal system   orthorhombic

***

Record 4
MgMn5 | PBE | relaxed

a b c (Å): 4.2162 6.7700 6.7700
angles (deg): 23.40 90.00 90.00
With the nearest neighbours (Å) after each atom.
Positions (direct):
Mg 0.0000 0.0000 0.0000  10 Mn 2.59-2.81, 2 Mg 2.75
Mn 0.0000 0.3259 0.3259  6 Mn 2.36-2.56
Mn 0.0000 0.6813 0.6813  6 Mn 2.36-2.52
Mn 0.5000 0.1970 0.1970  8 Mn 2.41-2.56
Mn 0.5000 0.5473 0.5473  2 Mn 2.41, 4 Mg 2.59
Mn 0.5000 0.8604 0.8604  10 Mn 2.56-2.83, 2 Mg 2.81

DOS at the Fermi energy   6.49 states/eV/cell
Size of the total moment   4.766 μB per formula unit
Formation energy from the elements   0.2626 eV/atom
Crystal system   orthorhombic

***

Record 5
CePm8Ho3 | PBE | relaxed

a b c (Å): 8.4090 8.4090 8.4090
angles (deg): 117.77 117.77 93.92
With the nearest neighbours (Å) after each atom.
Positions (direct):
Ce 0.0000 0.0000 0.0000  8 Pm 2.92-3.15
Pm 0.1190 0.1190 0.7561  3 Pm 3.00-3.32, 1 Ce 3.15, 1 Ho 3.33
Pm 0.2165 0.2165 0.4737  1 Ce 2.92, 1 Ho 3.24, 1 Pm 3.24
Pm 0.2571 0.7835 0.0000  1 Ce 2.92, 1 Ho 3.24, 1 Pm 3.24
Pm 0.3630 0.3630 0.2439  3 Pm 3.00-3.32, 1 Ce 3.15, 1 Ho 3.33
Pm 0.6370 0.8810 0.0000  3 Pm 3.00-3.32, 1 Ce 3.15, 1 Ho 3.33
Pm 0.7429 0.7429 0.5263  1 Ce 2.92, 1 Ho 3.24, 1 Pm 3.24
Pm 0.7835 0.2571 0.0000  1 Ce 2.92, 1 Ho 3.24, 1 Pm 3.24
Pm 0.8810 0.6370 0.0000  3 Pm 3.00-3.32, 1 Ce 3.15, 1 Ho 3.33
Ho 0.2500 0.7500 0.5000  4 Pm 3.45
Ho 0.5000 0.5000 0.0000  8 Pm 3.24-3.33
Ho 0.7500 0.2500 0.5000  4 Pm 3.45

DOS at the Fermi energy   19.34 states/eV/cell
Size of the total moment   0.000 μB per formula unit
Formation energy from the elements   0.5612 eV/atom
Crystal system   tetragonal

***

Record 6
MnHg2Pd5 | PBE | relaxed

a b c (Å): 7.9427 7.9427 7.9427
angles (deg): 148.92 148.92 44.54
With the nearest neighbours (Å) after each atom.
Positions (direct):
Mn 0.0000 0.0000 0.0000  12 Pd 2.74-3.01
Hg 0.2508 0.2508 0.0000  8 Pd 2.87-2.89, 4 Hg 3.01
Hg 0.7492 0.7492 0.0000  8 Pd 2.87-2.89, 4 Hg 3.01
Pd 0.1178 0.6178 0.5000  2 Mn 2.74, 6 Pd 2.74-3.01, 4 Hg 2.87-2.89
Pd 0.3822 0.8822 0.5000  6 Pd 2.74-3.01, 2 Mn 2.74, 4 Hg 2.87-2.89
Pd 0.5000 0.5000 0.0000  8 Pd 2.74, 4 Mn 3.01
Pd 0.6178 0.1178 0.5000  2 Mn 2.74, 6 Pd 2.74-3.01, 4 Hg 2.87-2.89
Pd 0.8822 0.3822 0.5000  6 Pd 2.74-3.01, 2 Mn 2.74, 4 Hg 2.87-2.89

DOS at the Fermi energy   1.83 states/eV/cell
Size of the total moment   4.857 μB per formula unit
Formation energy from the elements   -0.1755 eV/atom
Crystal system   tetragonal

***

Record 7
Na2Cu2Pt | PBE | relaxed

a b c (Å): 6.3773 6.3773 4.6026
angles (deg): 90.00 90.00 90.00
With the nearest neighbours (Å) after each atom.
Positions (direct):
Na 0.1837 0.3163 0.0000  6 Cu 2.84-3.08
Na 0.3163 0.8163 0.0000  6 Cu 2.84-3.08
Na 0.6837 0.1837 0.0000  6 Cu 2.84-3.08
Na 0.8163 0.6837 0.0000  6 Cu 2.84-3.08
Cu 0.1322 0.6322 0.5000  1 Cu 2.38, 2 Pt 2.49
Cu 0.3678 0.1322 0.5000  1 Cu 2.38, 2 Pt 2.49
Cu 0.6322 0.8678 0.5000  1 Cu 2.38, 2 Pt 2.49
Cu 0.8678 0.3678 0.5000  1 Cu 2.38, 2 Pt 2.49
Pt 0.0000 0.0000 0.5000  4 Cu 2.49
Pt 0.5000 0.5000 0.5000  4 Cu 2.49

DOS at the Fermi energy   3.19 states/eV/cell
Size of the total moment   0.000 μB per formula unit
Formation energy from the elements   0.0527 eV/atom
Crystal system   tetragonal

***

Record 8
PtO2F2 | PBE | relaxed

a b c (Å): 3.8147 3.8147 4.1845
angles (deg): 90.00 90.00 90.00
With the nearest neighbours (Å) after each atom.
Positions (direct):
Pt 0.0000 0.0000 0.0000  4 O 1.91, 2 F 2.09
O 0.0000 0.5000 0.0000  2 Pt 1.91
O 0.5000 0.0000 0.0000  2 Pt 1.91
F 0.0000 0.0000 0.5000  2 Pt 2.09
F 0.5000 0.5000 0.5000  4 F 2.70, 8 O 2.83

DOS at the Fermi energy   6.64 states/eV/cell
Size of the total moment   0.466 μB per formula unit
Uncorrected formation energy   -41 kJ/mol of formula units
Crystal system   tetragonal

***

Question: The highest size of the total moment belongs to which entry?
Answer: MnHg2Pd5

***

Question: What is the DOS at the Fermi energy in the sixth record?
Answer: 1.83 states/eV/cell

***

Question: Which of these has the lowest DOS at the Fermi energy?
Answer: Li5Zn2Ag4